1.
Ca3La PBE-GGA relaxed; calculated total energy = -2.668 eV per atom; total moment = 0.005 μB per formula unit; V = 649.9 Å³/cell
1.0
7.790 0.000 0.000
0.000 6.625 0.000
0.000 0.000 12.593
Ca La
12 4
direct
0.125 0.912 0.750
0.625 0.588 0.250
0.375 0.412 0.750
0.875 0.088 0.250
0.619 0.250 0.000
0.119 0.250 0.000
0.881 0.750 0.500
0.381 0.750 0.500
0.381 0.750 0.000
0.881 0.750 0.000
0.119 0.250 0.500
0.619 0.250 0.500
0.645 0.920 0.750
0.145 0.580 0.250
0.855 0.420 0.750
0.355 0.080 0.250

=====

2.
CaLa PBE-GGA relaxed; calculated total energy = -3.190 eV per atom; total moment = 0.000 μB per formula unit; V = 635.4 Å³/cell
1.0
-8.659 -5.429 -8.712
-0.673 -11.073 7.569
-2.687 1.395 1.801
Ca La
8 8
direct
0.851 0.608 0.500
0.149 0.392 0.500
0.392 0.851 0.500
0.608 0.149 0.500
0.894 0.353 0.000
0.106 0.647 0.000
0.647 0.894 0.000
0.353 0.106 0.000
0.644 0.421 0.500
0.356 0.579 0.500
0.579 0.644 0.500
0.421 0.356 0.500
0.920 0.857 0.000
0.080 0.143 0.000
0.143 0.920 0.000
0.857 0.080 0.000

=====

3.
CaLa5 PBE-GGA relaxed; calculated total energy = -4.340 eV per atom; total moment = 0.000 μB per formula unit; V = 228.1 Å³/cell
1.0
-0.437 2.070 3.387
3.414 -4.123 2.961
5.972 6.974 -3.492
Ca La
1 5
direct
0.000 0.000 0.000
0.000 0.676 0.351
0.000 0.324 0.649
0.500 0.500 0.000
0.500 0.158 0.315
0.500 0.842 0.685

=====

4.
Ca2La PBE-GGA relaxed; calculated total energy = -2.935 eV per atom; total moment = 0.000 μB per formula unit; V = 238.8 Å³/cell
1.0
-5.194 3.255 4.113
-3.612 0.706 6.399
4.509 6.688 4.336
Ca La
4 2
direct
0.997 0.997 0.995
0.332 0.332 0.330
0.612 0.612 0.281
0.948 0.948 0.616
0.679 0.679 0.679
0.266 0.266 0.932

=====

5.
CaLa2 PBE-GGA relaxed; calculated total energy = -3.900 eV per atom; total moment = 0.000 μB per formula unit; V = 230.5 Å³/cell
1.0
7.304 0.003 0.020
6.329 3.646 0.020
2.311 0.619 8.667
Ca La
2 4
direct
0.005 0.005 0.998
0.664 0.664 0.665
0.334 0.334 0.329
0.382 0.382 0.717
0.048 0.048 0.391
0.733 0.733 0.066

=====

6.
Ca2La PBE-GGA relaxed; calculated total energy = -2.893 eV per atom; total moment = 0.000 μB per formula unit; V = 479.3 Å³/cell
1.0
-2.151 -3.931 3.437
0.522 -5.111 -5.519
10.378 -2.664 3.449
Ca La
8 4
direct
0.250 0.183 0.736
0.750 0.317 0.236
0.250 0.683 0.764
0.750 0.817 0.264
0.250 0.097 0.405
0.750 0.403 0.905
0.250 0.597 0.095
0.750 0.903 0.595
0.250 0.578 0.442
0.750 0.922 0.942
0.250 0.078 0.058
0.750 0.422 0.558

=====

D(E_F) list, top to bottom, in states/eV/atom: 1.58, 1.51, 1.84, 1.28, 1.55, 1.46
Polymorph energy (0 for the lowest one) list, top to bottom, in kJ/mol of formula units: 19.8, 48.9, 46.4, 0.1, 7.4, 12.5
Formation energy from the elements list, top to bottom, in kcal/mol of atoms: 1.5, 6.3, 2.3, 1.0, 1.2, 1.9